1.
# PBE-GGA PaGeAu, relaxed
# **Fermi-level density of states**: 4.03 states/eV/f.u.
# **Formation enthalpy at 0 K**: -103 meV/atom
# **Total DFT energy (no corrections)**: -5.900 eV/atom
data_PaGeAu
_cell_length_a 10.1040
_cell_length_b 10.1040
_cell_length_c 4.9508
_cell_angle_alpha 90.00
_cell_angle_beta 90.00
_cell_angle_gamma 90.00
_space_group_name_H-M_alt 'I 4/m m m'
_space_group_IT_number 139
_space_group_name_Hall '-I 4 2'
loop_
_atom_site_label
_atom_site_fract_x
_atom_site_fract_y
_atom_site_fract_z
Pa1 0.0000 0.1992 0.0000
Ge1 0.0000 0.3742 0.5000
Au1 0.1974 0.1974 0.5000



2.
# PBE-GGA VCrCo, relaxed
# **Fermi-level density of states**: 3.99 states/eV/f.u.
# **Formation enthalpy at 0 K**: 552 meV/atom
# **Total DFT energy (no corrections)**: -8.064 eV/atom
# **E above lowest polymorph**: 61.1 kJ per mole of atoms
data_VCrCo
_cell_length_a 4.8798
_cell_length_b 3.7114
_cell_length_c 4.4277
_cell_angle_alpha 90.00
_cell_angle_beta 90.00
_cell_angle_gamma 90.00
_space_group_name_H-M_alt 'P m m a'
_space_group_IT_number 51
_space_group_name_Hall '-P 2a 2a'
loop_
_atom_site_label
_atom_site_fract_x
_atom_site_fract_y
_atom_site_fract_z
V1 0.2500 0.0000 0.0415
Cr1 0.2500 0.5000 0.6666
Co1 0.0000 0.0000 0.5000



3.
# PBE-GGA SrLi2Ca8, relaxed
# **Fermi-level density of states**: 12.50 states/eV/f.u.
# **Formation enthalpy at 0 K**: 90 meV/atom
# **Total DFT energy (no corrections)**: -1.866 eV/atom
# **E above lowest polymorph**: 5.4 kJ per mole of atoms
data_SrLi2Ca8
_cell_length_a 9.9692
_cell_length_b 15.1189
_cell_length_c 6.2116
_cell_angle_alpha 90.00
_cell_angle_beta 106.52
_cell_angle_gamma 90.00
_space_group_name_H-M_alt 'C 1 2/m 1'
_space_group_IT_number 12
_space_group_name_Hall '-C 2y'
loop_
_atom_site_label
_atom_site_fract_x
_atom_site_fract_y
_atom_site_fract_z
Sr1 0.0000 0.0000 0.0000
Li1 0.0000 0.3135 0.5000
Ca1 0.0000 0.2523 0.0000
Ca2 0.1001 0.5000 0.8043
Ca3 0.2008 0.1261 0.5905



4.
# PBE-GGA LaTmIn, relaxed
# **Fermi-level density of states**: 3.56 states/eV/f.u.
# **Formation enthalpy at 0 K**: -329 meV/atom
# **Total DFT energy (no corrections)**: -4.375 eV/atom
# **E above lowest polymorph**: 0.5 kJ per mole of atoms
data_LaTmIn
_cell_length_a 4.5216
_cell_length_b 5.0349
_cell_length_c 8.3034
_cell_angle_alpha 90.00
_cell_angle_beta 105.66
_cell_angle_gamma 90.00
_space_group_name_H-M_alt 'P 1 21/m 1'
_space_group_IT_number 11
_space_group_name_Hall '-P 2yb'
loop_
_atom_site_label
_atom_site_fract_x
_atom_site_fract_y
_atom_site_fract_z
La1 0.0745 0.2500 0.1422
Tm1 0.2396 0.7500 0.4794
In1 0.3917 0.2500 0.7860



5.
# PBE-GGA ZrPbW2, relaxed
# **Fermi-level density of states**: 5.22 states/eV/f.u.
# **Formation enthalpy at 0 K**: 883 meV/atom
# **Total DFT energy (no corrections)**: -8.658 eV/atom
data_ZrPbW2
_cell_length_a 3.0119
_cell_length_b 3.0119
_cell_length_c 30.6565
_cell_angle_alpha 90.00
_cell_angle_beta 90.00
_cell_angle_gamma 120.00
_space_group_name_H-M_alt 'R -3 m'
_space_group_IT_number 166
_space_group_name_Hall '-R 3 2"'
loop_
_atom_site_label
_atom_site_fract_x
_atom_site_fract_y
_atom_site_fract_z
Zr1 0.0000 0.0000 0.0000
Pb1 0.0000 0.0000 0.5000
W1 0.0000 0.0000 0.2517



6.
# PBE-GGA Pm2SbBr3, relaxed
# **Total DFT energy (no corrections)**: -4.614 eV/atom
# **Energy relative to the elements, uncorrected**: -1506.5 meV per atom
data_Pm2SbBr3
_cell_length_a 18.0286
_cell_length_b 4.5240
_cell_length_c 14.2431
_cell_angle_alpha 90.00
_cell_angle_beta 126.91
_cell_angle_gamma 90.00
_space_group_name_H-M_alt 'C 1 2/m 1'
_space_group_IT_number 12
_space_group_name_Hall '-C 2y'
loop_
_atom_site_label
_atom_site_fract_x
_atom_site_fract_y
_atom_site_fract_z
Pm1 0.1098 0.0000 0.4521
Pm2 0.1385 0.5000 0.8311
Sb1 0.1036 0.0000 0.6662
Br1 0.0584 0.5000 0.2741
Br2 0.1562 0.0000 0.9956
Br3 0.2391 0.5000 0.5944



7.
# PBE-GGA Tb3BiAsN, relaxed
# **Fermi-level density of states**: 0.56 states/eV/f.u.
# **Total DFT energy (no corrections)**: -6.351 eV/atom
# **Energy relative to the elements, uncorrected**: -1226.9 meV per atom
data_Tb3BiAsN
_cell_length_a 8.9158
_cell_length_b 4.1415
_cell_length_c 9.2968
_cell_angle_alpha 90.00
_cell_angle_beta 100.95
_cell_angle_gamma 90.00
_space_group_name_H-M_alt 'P 1 21/m 1'
_space_group_IT_number 11
_space_group_name_Hall '-P 2yb'
loop_
_atom_site_label
_atom_site_fract_x
_atom_site_fract_y
_atom_site_fract_z
Tb1 0.0841 0.2500 0.3550
Tb2 0.3482 0.2500 0.9884
Tb3 0.3794 0.7500 0.6680
Bi1 0.3278 0.7500 0.2888
As1 0.1456 0.2500 0.6656
N1 0.4088 0.7500 0.9032



8.
# PBE-GGA TbHoTlCd, relaxed
# **Fermi-level density of states**: 4.45 states/eV/f.u.
# **Formation enthalpy at 0 K**: -337 meV/atom
# **Total DFT energy (no corrections)**: -3.460 eV/atom
data_TbHoTlCd
_cell_length_a 7.5352
_cell_length_b 7.5352
_cell_length_c 7.5352
_cell_angle_alpha 90.00
_cell_angle_beta 90.00
_cell_angle_gamma 90.00
_space_group_name_H-M_alt 'F -4 3 m'
_space_group_IT_number 216
_space_group_name_Hall 'F -4 2 3'
loop_
_atom_site_label
_atom_site_fract_x
_atom_site_fract_y
_atom_site_fract_z
Tb1 0.0000 0.0000 0.0000
Ho1 0.0000 0.0000 0.5000
Tl1 0.2500 0.2500 0.7500
Cd1 0.2500 0.2500 0.2500



9.
# PBE-GGA V3TcRh, relaxed
# **Fermi-level density of states**: 9.82 states/eV/f.u.
# **Formation enthalpy at 0 K**: 1123 meV/atom
# **Total DFT energy (no corrections)**: -7.891 eV/atom
# **E above lowest polymorph**: 0.0 kJ per mole of atoms
data_V3TcRh
_cell_length_a 4.4471
_cell_length_b 4.4471
_cell_length_c 4.4471
_cell_angle_alpha 90.00
_cell_angle_beta 90.00
_cell_angle_gamma 90.00
_space_group_name_H-M_alt 'P m -3 m'
_space_group_IT_number 221
_space_group_name_Hall '-P 4 2 3'
loop_
_atom_site_label
_atom_site_fract_x
_atom_site_fract_y
_atom_site_fract_z
V1 0.0000 0.0000 0.5000
Tc1 0.0000 0.0000 0.0000
Rh1 0.5000 0.5000 0.5000



10.
# PBE-GGA Tm2Th2Mg, relaxed
# **Fermi-level density of states**: 8.36 states/eV/f.u.
# **Formation enthalpy at 0 K**: -18 meV/atom
# **Total DFT energy (no corrections)**: -5.093 eV/atom
# **E above lowest polymorph**: 0.0 kJ per mole of atoms
data_Tm2Th2Mg
_cell_length_a 3.5920
_cell_length_b 3.5920
_cell_length_c 22.9391
_cell_angle_alpha 90.00
_cell_angle_beta 90.00
_cell_angle_gamma 90.00
_space_group_name_H-M_alt 'I 4/m m m'
_space_group_IT_number 139
_space_group_name_Hall '-I 4 2'
loop_
_atom_site_label
_atom_site_fract_x
_atom_site_fract_y
_atom_site_fract_z
Tm1 0.0000 0.0000 0.0910
Th1 0.0000 0.0000 0.3036
Mg1 0.0000 0.0000 0.5000



11.
# PBE-GGA Ca2TaRe, relaxed
# **Fermi-level density of states**: 3.68 states/eV/f.u.
# **Formation enthalpy at 0 K**: 479 meV/atom
# **Total DFT energy (no corrections)**: -6.597 eV/atom
# **E above lowest polymorph**: 23.1 kJ per mole of atoms
data_Ca2TaRe
_cell_length_a 3.5154
_cell_length_b 5.4775
_cell_length_c 10.2152
_cell_angle_alpha 90.00
_cell_angle_beta 90.00
_cell_angle_gamma 90.00
_space_group_name_H-M_alt 'I m m 2'
_space_group_IT_number 44
_space_group_name_Hall 'I 2 -2'
loop_
_atom_site_label
_atom_site_fract_x
_atom_site_fract_y
_atom_site_fract_z
Ca1 0.0000 0.0000 0.0000
Ca2 0.0000 0.5000 0.2094
Ta1 0.0000 0.0000 0.4185
Re1 0.0000 0.5000 0.7517



12.
# PBE-GGA Ba2InGa, relaxed
# **Fermi-level density of states**: 8.56 states/eV/f.u.
# **Formation enthalpy at 0 K**: 2 meV/atom
# **Total DFT energy (no corrections)**: -2.400 eV/atom
# **E above lowest polymorph**: 33.5 kJ per mole of atoms
data_Ba2InGa
_cell_length_a 9.3901
_cell_length_b 9.3901
_cell_length_c 7.4009
_cell_angle_alpha 90.00
_cell_angle_beta 90.00
_cell_angle_gamma 90.00
_space_group_name_H-M_alt 'I -4 2 d'
_space_group_IT_number 122
_space_group_name_Hall 'I -4 2bw'
loop_
_atom_site_label
_atom_site_fract_x
_atom_site_fract_y
_atom_site_fract_z
Ba1 0.2225 0.7500 0.1250
In1 0.0000 0.0000 0.5000
Ga1 0.0000 0.0000 0.0000



13.
# PBE-GGA Be2S, relaxed
# **Fermi-level density of states**: 0.15 states/eV/f.u.
# **Total DFT energy (no corrections)**: -4.311 eV/atom
# **E above lowest polymorph**: 0.0 kJ per mole of atoms
# **Energy relative to the elements, uncorrected**: -451.3 meV per atom
data_Be2S
_cell_length_a 3.3857
_cell_length_b 3.3857
_cell_length_c 8.9246
_cell_angle_alpha 89.56
_cell_angle_beta 89.32
_cell_angle_gamma 60.01
_space_group_name_H-M_alt 'P -1'
_space_group_IT_number 2
_space_group_name_Hall '-P 1'
loop_
_atom_site_label
_atom_site_fract_x
_atom_site_fract_y
_atom_site_fract_z
Be1 0.1610 0.1655 0.1987
Be2 0.1682 0.1670 0.9429
S1 0.1747 0.1684 0.7159



14.
# PBE-GGA SrMgTc2, relaxed
# **Fermi-level density of states**: 3.50 states/eV/f.u.
# **Formation enthalpy at 0 K**: 254 meV/atom
# **Total DFT energy (no corrections)**: -5.748 eV/atom
data_SrMgTc2
_cell_length_a 3.1934
_cell_length_b 3.1934
_cell_length_c 8.3403
_cell_angle_alpha 90.00
_cell_angle_beta 90.00
_cell_angle_gamma 90.00
_space_group_name_H-M_alt 'P 4 m m'
_space_group_IT_number 99
_space_group_name_Hall 'P 4 -2'
loop_
_atom_site_label
_atom_site_fract_x
_atom_site_fract_y
_atom_site_fract_z
Sr1 0.0000 0.0000 0.0000
Mg1 0.5000 0.5000 0.6500
Tc1 0.0000 0.0000 0.4329
Tc2 0.5000 0.5000 0.2860



15.
# PBE-GGA SrLi2Tl, relaxed
# **Fermi-level density of states**: 2.18 states/eV/f.u.
# **Formation enthalpy at 0 K**: -43 meV/atom
# **Total DFT energy (no corrections)**: -2.012 eV/atom
data_SrLi2Tl
_cell_length_a 6.6770
_cell_length_b 10.9229
_cell_length_c 3.6998
_cell_angle_alpha 90.00
_cell_angle_beta 119.54
_cell_angle_gamma 90.00
_space_group_name_H-M_alt 'C 1 2/m 1'
_space_group_IT_number 12
_space_group_name_Hall '-C 2y'
loop_
_atom_site_label
_atom_site_fract_x
_atom_site_fract_y
_atom_site_fract_z
Sr1 0.0000 0.0000 0.0000
Li1 0.2500 0.2500 0.5000
Tl1 0.0000 0.5000 0.0000



16.
# PBE-GGA LuHfIr4, relaxed
# **Fermi-level density of states**: 3.29 states/eV/f.u.
# **Formation enthalpy at 0 K**: -735 meV/atom
# **Total DFT energy (no corrections)**: -9.054 eV/atom
data_LuHfIr4
_cell_length_a 7.4520
_cell_length_b 7.4520
_cell_length_c 7.4520
_cell_angle_alpha 90.00
_cell_angle_beta 90.00
_cell_angle_gamma 90.00
_space_group_name_H-M_alt 'F -4 3 m'
_space_group_IT_number 216
_space_group_name_Hall 'F -4 2 3'
loop_
_atom_site_label
_atom_site_fract_x
_atom_site_fract_y
_atom_site_fract_z
Lu1 0.0000 0.0000 0.0000
Hf1 0.2500 0.2500 0.7500
Ir1 0.1252 0.1252 0.3748



17.
# PBE-GGA Pr4AuCl5, relaxed
# **Fermi-level density of states**: 4.75 states/eV/f.u.
# **Total DFT energy (no corrections)**: -4.811 eV/atom
# **Energy relative to the elements, uncorrected**: -1648.3 meV per atom
data_Pr4AuCl5
_cell_length_a 18.2531
_cell_length_b 4.0723
_cell_length_c 8.7521
_cell_angle_alpha 90.00
_cell_angle_beta 102.44
_cell_angle_gamma 90.00
_space_group_name_H-M_alt 'C 1 2/m 1'
_space_group_IT_number 12
_space_group_name_Hall '-C 2y'
loop_
_atom_site_label
_atom_site_fract_x
_atom_site_fract_y
_atom_site_fract_z
Pr1 0.0049 0.0000 0.2408
Pr2 0.1666 0.5000 0.0725
Au1 0.0000 0.5000 0.0000
Cl1 0.0000 0.5000 0.5000
Cl2 0.1650 0.0000 0.8290
Cl3 0.1679 0.0000 0.3091



18.
# PBE-GGA Ac3Ir, relaxed
# **Fermi-level density of states**: 5.28 states/eV/f.u.
# **Formation enthalpy at 0 K**: -130 meV/atom
# **Total DFT energy (no corrections)**: -5.426 eV/atom
# **E above lowest polymorph**: 25.8 kJ per mole of atoms
data_Ac3Ir
_cell_length_a 3.9375
_cell_length_b 3.9948
_cell_length_c 10.0881
_cell_angle_alpha 90.00
_cell_angle_beta 90.00
_cell_angle_gamma 90.00
_space_group_name_H-M_alt 'P m m 2'
_space_group_IT_number 25
_space_group_name_Hall 'P 2 -2'
loop_
_atom_site_label
_atom_site_fract_x
_atom_site_fract_y
_atom_site_fract_z
Ac1 0.0000 0.0000 0.0000
Ac2 0.0000 0.5000 0.3417
Ac3 0.5000 0.5000 0.7012
Ir1 0.5000 0.0000 0.2204



19.
# PBE-GGA BaAc5Pb6, relaxed
# **Fermi-level density of states**: 10.08 states/eV/f.u.
# **Formation enthalpy at 0 K**: -473 meV/atom
# **Total DFT energy (no corrections)**: -4.199 eV/atom
data_BaAc5Pb6
_cell_length_a 9.7759
_cell_length_b 18.5322
_cell_length_c 6.2206
_cell_angle_alpha 90.00
_cell_angle_beta 129.13
_cell_angle_gamma 90.00
_space_group_name_H-M_alt 'C 1 2/m 1'
_space_group_IT_number 12
_space_group_name_Hall '-C 2y'
loop_
_atom_site_label
_atom_site_fract_x
_atom_site_fract_y
_atom_site_fract_z
Ba1 0.0000 0.0000 0.0000
Ac1 0.0000 0.1574 0.5000
Ac2 0.0000 0.3255 0.0000
Ac3 0.0000 0.5000 0.5000
Pb1 0.2219 0.5000 0.2214
Pb2 0.2339 0.3314 0.7332



20.
# PBE-GGA Pr5Ga2, relaxed
# **Fermi-level density of states**: 9.49 states/eV/f.u.
# **Formation enthalpy at 0 K**: -295 meV/atom
# **Total DFT energy (no corrections)**: -4.573 eV/atom
data_Pr5Ga2
_cell_length_a 16.2629
_cell_length_b 6.4050
_cell_length_c 8.5061
_cell_angle_alpha 90.00
_cell_angle_beta 97.68
_cell_angle_gamma 90.00
_space_group_name_H-M_alt 'C 1 2/c 1'
_space_group_IT_number 15
_space_group_name_Hall '-C 2yc'
loop_
_atom_site_label
_atom_site_fract_x
_atom_site_fract_y
_atom_site_fract_z
Pr1 0.0000 0.1312 0.2500
Pr2 0.0929 0.3631 0.9234
Pr3 0.2232 0.0835 0.3218
Ga1 0.1026 0.1910 0.5825



Values of spin magnetization, in order: 0.0; 0.0; 0.0; 0.0; 0.0; 0.0; 0.0; 0.0; 0.0; 0.0; 0.0; 0.0; 0.0; 0.0; 0.0; 0.0; 0.0; 0.0; 0.6; 0.0, all in μB per formula unit.